1.
# PBE ZnSb3Os, relaxed
# - DOS at the Fermi energy (states/eV/f.u.) = 7.3
# - formation energy (no corrections) (meV per atom) = 1472
data_ZnSb3Os
_space_group_name_H-M_alt 'P m -3 m'
_space_group_IT_number 221
_space_group_name_Hall '-P 4 2 3'
_cell_length_a 5.021
_cell_length_b 5.021
_cell_length_c 5.021
_cell_angle_alpha 90.00
_cell_angle_beta 90.00
_cell_angle_gamma 90.00
loop_
_atom_site_label
_atom_site_type_symbol
_atom_site_fract_x
_atom_site_fract_y
_atom_site_fract_z
Zn1 Zn 0.000 0.000 0.000
Sb1 Sb 0.000 0.000 0.500
Os1 Os 0.500 0.500 0.500



2.
# PBE Zn4SbOs, relaxed
# - DOS at the Fermi energy (states/eV/f.u.) = 1.6
# - formation energy (no corrections) (meV per atom) = 250
data_Zn4SbOs
_space_group_name_H-M_alt 'F -4 3 m'
_space_group_IT_number 216
_space_group_name_Hall 'F -4 2 3'
_cell_length_a 7.187
_cell_length_b 7.187
_cell_length_c 7.187
_cell_angle_alpha 90.00
_cell_angle_beta 90.00
_cell_angle_gamma 90.00
loop_
_atom_site_label
_atom_site_type_symbol
_atom_site_fract_x
_atom_site_fract_y
_atom_site_fract_z
Zn1 Zn 0.124 0.124 0.124
Sb1 Sb 0.000 0.000 0.500
Os1 Os 0.250 0.250 0.750



3.
# PBE Zn2SbOs2, relaxed
# - DOS at the Fermi energy (states/eV/f.u.) = 3.1
# - formation energy (no corrections) (meV per atom) = 631
data_Zn2SbOs2
_space_group_name_H-M_alt 'P 4/m b m'
_space_group_IT_number 127
_space_group_name_Hall '-P 4 2ab'
_cell_length_a 7.820
_cell_length_b 7.820
_cell_length_c 2.698
_cell_angle_alpha 90.00
_cell_angle_beta 90.00
_cell_angle_gamma 90.00
loop_
_atom_site_label
_atom_site_type_symbol
_atom_site_fract_x
_atom_site_fract_y
_atom_site_fract_z
Zn1 Zn 0.119 0.381 0.000
Sb1 Sb 0.000 0.000 0.000
Os1 Os 0.176 0.676 0.500



4.
# PBE ZnSb3Os, relaxed
# - DOS at the Fermi energy (states/eV/f.u.) = 4.1
# - formation energy (no corrections) (meV per atom) = 711
data_ZnSb3Os
_space_group_name_H-M_alt 'P m -3 m'
_space_group_IT_number 221
_space_group_name_Hall '-P 4 2 3'
_cell_length_a 5.185
_cell_length_b 5.185
_cell_length_c 5.185
_cell_angle_alpha 90.00
_cell_angle_beta 90.00
_cell_angle_gamma 90.00
loop_
_atom_site_label
_atom_site_type_symbol
_atom_site_fract_x
_atom_site_fract_y
_atom_site_fract_z
Zn1 Zn 0.000 0.000 0.000
Sb1 Sb 0.000 0.500 0.500
Os1 Os 0.500 0.500 0.500